A plane-wave DFT calculation with PBE was carried out for SnGeI2N after structural relaxation.

As for the density of states at the Fermi level: 0.580 states/eV/atom. For the formation energy (no corrections), the calculation gives 0.718 eV per atom. For the uncorrected energy, the calculation gives -3.2911 eV per atom.

It has space group P4/mmm (No. 123), with a = 6.146 Å, b = 6.146 Å, c = 3.885 Å, α = 90.00°, β = 90.00° and γ = 90.00°. The distinct sites, in fractional coordinates, are Sn at (0.000, 0.000, 0.000), Ge at (0.500, 0.500, 0.500), I at (0.000, 0.500, 0.000) and N at (0.000, 0.000, 0.500).